First-principles (PBE) data for a relaxed TeRhW2 crystal, as listed in Alexandria via LeMat-Bulk.

**V**: 69.4 Å³ per cell
**Formation energy without anion corrections**: 0.4227 eV/atom
**Total DFT energy (no corrections)**: -8.68 eV/atom
**Magnetic moment**: 0.00 μB per formula unit

abc: 5.0776 5.0776 4.6448
angles: 96.28 96.28 35.69
Last column: nearest neighbours and their distance in Å.
Positions (direct):
Te 0.0000 0.0000 0.0000  2 W 2.75, 4 Rh 2.80
Rh 0.5000 0.5000 0.5000  4 Te 2.80, 6 W 2.85-2.86, 2 Rh 3.11
W 0.2360 0.2360 0.7221  2 W 2.62, 1 Te 2.75, 3 Rh 2.85-2.86
W 0.7640 0.7640 0.2779  2 W 2.62, 1 Te 2.75, 3 Rh 2.85-2.86

First-principles (PBE) data for a relaxed Pm2AgSb4 crystal, as listed in Alexandria via LeMat-Bulk.

**V**: 195.8 Å³ per cell
**Formation energy without anion corrections**: -0.6746 eV/atom
**Total DFT energy (no corrections)**: -4.79 eV/atom
**Magnetic moment**: 0.00 μB per formula unit

abc: 4.4588 4.4588 9.8472
angles: 90.00 90.00 90.00
Last column: nearest neighbours and their distance in Å.
Positions (direct):
Pm 0.0000 0.5000 0.2470  8 Sb 3.26-3.34, 2 Ag 3.30
Pm 0.5000 0.0000 0.7530  8 Sb 3.26-3.34, 2 Ag 3.30
Ag 0.5000 0.5000 0.0000  4 Sb 2.75
Sb 0.0000 0.0000 0.5000  4 Sb 3.15, 4 Pm 3.34
Sb 0.0000 0.5000 0.8371  2 Ag 2.75
Sb 0.5000 0.0000 0.1629  2 Ag 2.75
Sb 0.5000 0.5000 0.5000  4 Sb 3.15, 4 Pm 3.34

First-principles (PBE) data for a relaxed PdWSe2N crystal, as listed in Alexandria via LeMat-Bulk.

**V**: 96.0 Å³ per cell
**Formation energy without anion corrections**: 0.3841 eV/atom
**Total DFT energy (no corrections)**: -6.30 eV/atom
**Magnetic moment**: 0.00 μB per formula unit
**Polymorph energy (0 for the lowest one)**: 0 meV per atom

abc: 5.0365 5.0365 3.7845
angles: 90.00 90.00 90.00
Last column: nearest neighbours and their distance in Å.
Positions (direct):
Pd 0.0000 0.0000 0.0000  8 Se 3.15
W 0.5000 0.5000 0.5000  2 N 1.89
Se 0.0000 0.5000 0.5000  2 W 2.52
Se 0.5000 0.0000 0.5000  2 W 2.52
N 0.5000 0.5000 0.0000  2 W 1.89

First-principles (PBE) data for a relaxed ZrPt crystal, as listed in Alexandria via LeMat-Bulk.

**V**: 55.0 Å³ per cell
**Total DFT energy (no corrections)**: -7.52 eV/atom
**DFT formation energy**: -0.5 eV/f.u.
**Magnetic moment**: 0.00 μB per formula unit

abc: 4.2683 4.2683 4.2683
angles: 60.00 60.00 60.00
Last column: nearest neighbours and their distance in Å.
Positions (direct):
Zr 0.0000 0.0000 0.0000  4 Pt 2.61
Pt 0.2500 0.2500 0.2500  4 Zr 2.61

First-principles (PBE) data for a relaxed ScNiAs2 crystal, as listed in Alexandria via LeMat-Bulk.

**V**: 65.8 Å³ per cell
**Total DFT energy (no corrections)**: -5.67 eV/atom
**DFT formation energy**: -1.3 eV/f.u.
**Magnetic moment**: 0.00 μB per formula unit

abc: 2.9997 3.5712 6.1431
angles: 90.00 90.00 90.00
Last column: nearest neighbours and their distance in Å.
Positions (direct):
Sc 0.0000 0.0000 0.0000  8 As 2.87, 2 Sc 3.00, 2 Ni 3.07
Ni 0.0000 0.0000 0.5000  8 As 2.72, 2 Ni 3.00
As 0.5000 0.5000 0.2725  4 Ni 2.72, 3 As 2.80-3.00, 4 Sc 2.87
As 0.5000 0.5000 0.7275  4 Ni 2.72, 3 As 2.80-3.00, 4 Sc 2.87

First-principles (PBE) data for a relaxed PaCdO2 crystal, as listed in Alexandria via LeMat-Bulk.

**V**: 95.4 Å³ per cell
**Formation energy without anion corrections**: -2.2898 eV/atom
**Total DFT energy (no corrections)**: -7.37 eV/atom
**Magnetic moment**: 0.94 μB per formula unit

abc: 8.6449 8.6449 8.6449
angles: 24.20 24.20 24.20
Last column: nearest neighbours and their distance in Å.
Positions (direct):
Pa 0.0000 0.0000 0.0000  6 O 2.28
Cd 0.5000 0.5000 0.5000  2 O 3.28, 6 Cd 3.62
O 0.3696 0.3696 0.3696  3 Pa 2.28
O 0.6304 0.6304 0.6304  3 Pa 2.28

First-principles (PBE) data for a relaxed Li2YAu2 crystal, as listed in Alexandria via LeMat-Bulk.

**V**: 88.9 Å³ per cell
**Total DFT energy (no corrections)**: -3.94 eV/atom
**DFT formation energy**: -2.8 eV/f.u.
**Magnetic moment**: 0.00 μB per formula unit
**Polymorph energy (0 for the lowest one)**: 40 meV per atom

abc: 4.6849 4.6849 5.3408
angles: 115.18 115.18 60.66
Last column: nearest neighbours and their distance in Å.
Positions (direct):
Li 0.0839 0.0839 0.2469  1 Li 2.30
Li 0.9161 0.9161 0.7531  1 Li 2.30
Y 0.5000 0.5000 0.5000  6 Li 2.94-2.96, 8 Au 3.04-3.16
Au 0.2798 0.2798 0.8452  4 Li 2.73-2.78, 1 Y 3.04, 2 Au 3.06
Au 0.7202 0.7202 0.1548  4 Li 2.73-2.78, 1 Y 3.04, 2 Au 3.06

First-principles (PBE) data for a relaxed PrErNiRu crystal, as listed in Alexandria via LeMat-Bulk.

**V**: 82.2 Å³ per cell
**Total DFT energy (no corrections)**: -6.36 eV/atom
**DFT formation energy**: -1.0 eV/f.u.
**Magnetic moment**: 0.00 μB per formula unit

abc: 4.8803 4.8803 4.8803
angles: 60.00 60.00 60.00
Last column: nearest neighbours and their distance in Å.
Positions (direct):
Pr 0.0000 0.0000 0.0000  4 Ru 2.99, 4 Ni 2.99
Er 0.5000 0.5000 0.5000  4 Ni 2.99, 4 Ru 2.99
Ni 0.2500 0.2500 0.2500  4 Pr 2.99, 4 Er 2.99
Ru 0.7500 0.7500 0.7500  4 Pr 2.99, 4 Er 2.99

First-principles (PBE) data for a relaxed Sm2RuO6 crystal, as listed in Alexandria via LeMat-Bulk.

**V**: 247.3 Å³ per cell
**Formation energy without anion corrections**: -2.2645 eV/atom
**Total DFT energy (no corrections)**: -7.65 eV/atom
**Magnetic moment**: 2.00 μB per formula unit
**Polymorph energy (0 for the lowest one)**: 0 meV per atom

abc: 5.4426 6.1075 8.7776
angles: 90.00 122.05 90.00
Last column: nearest neighbours and their distance in Å.
Positions (direct):
Sm 0.2089 0.0970 0.2472  7 O 2.33-2.57
Sm 0.2089 0.4030 0.7472  7 O 2.33-2.57
Sm 0.7911 0.5970 0.2528  7 O 2.33-2.57
Sm 0.7911 0.9030 0.7528  7 O 2.33-2.57
Ru 0.5000 0.0000 0.0000  6 O 1.91-1.98
Ru 0.5000 0.5000 0.5000  6 O 1.91-1.98
O 0.1444 0.1558 0.9458  1 Ru 1.98
O 0.1444 0.3442 0.4458  1 Ru 1.98
O 0.2937 0.7239 0.9294  1 Ru 1.94
O 0.2937 0.7761 0.4294  1 Ru 1.94
O 0.4009 0.0514 0.7587  1 Ru 1.91
O 0.4009 0.4486 0.2587  1 Ru 1.91
O 0.5991 0.5514 0.7413  1 Ru 1.91
O 0.5991 0.9486 0.2413  1 Ru 1.91
O 0.7063 0.2239 0.5706  1 Ru 1.94
O 0.7063 0.2761 0.0706  1 Ru 1.94
O 0.8556 0.6558 0.5542  1 Ru 1.98
O 0.8556 0.8442 0.0542  1 Ru 1.98

First-principles (PBE) data for a relaxed Ca2TaHg2 crystal, as listed in Alexandria via LeMat-Bulk.

**V**: 250.0 Å³ per cell
**Total DFT energy (no corrections)**: -2.92 eV/atom
**DFT formation energy**: 1.8 eV/f.u.
**Magnetic moment**: 1.50 μB per formula unit
**Polymorph energy (0 for the lowest one)**: 0 meV per atom

abc: 8.6780 8.6780 3.3203
angles: 90.00 90.00 90.00
Last column: nearest neighbours and their distance in Å.
Positions (direct):
Ca 0.1497 0.3503 0.0000  6 Hg 2.98-3.08, 2 Ta 3.31, 2 Ca 3.32
Ca 0.3503 0.8503 0.0000  6 Hg 2.98-3.08, 2 Ta 3.31, 2 Ca 3.32
Ca 0.6497 0.1497 0.0000  6 Hg 2.98-3.08, 2 Ta 3.31, 2 Ca 3.32
Ca 0.8503 0.6497 0.0000  6 Hg 2.98-3.08, 2 Ta 3.31, 2 Ca 3.32
Ta 0.0000 0.0000 0.0000  4 Ca 3.31, 2 Ta 3.32
Ta 0.5000 0.5000 0.0000  4 Ca 3.31, 2 Ta 3.32
Hg 0.1489 0.6489 0.5000  6 Ca 2.98-3.08, 2 Hg 3.32
Hg 0.3511 0.1489 0.5000  6 Ca 2.98-3.08, 2 Hg 3.32
Hg 0.6489 0.8511 0.5000  6 Ca 2.98-3.08, 2 Hg 3.32
Hg 0.8511 0.3511 0.5000  6 Ca 2.98-3.08, 2 Hg 3.32

First-principles (PBE) data for a relaxed Pm3Nd4Dy4 crystal, as listed in Alexandria via LeMat-Bulk.

**V**: 376.8 Å³ per cell
**Total DFT energy (no corrections)**: -4.55 eV/atom
**DFT formation energy**: 1.7 eV/f.u.
**Magnetic moment**: 0.00 μB per formula unit
**Polymorph energy (0 for the lowest one)**: 22 meV per atom

abc: 10.7836 6.7118 6.7118
angles: 50.87 90.00 90.00
Last column: nearest neighbours and their distance in Å.
Positions (direct):
Pm 0.0000 0.0000 0.0000  7 Nd 3.56-3.82, 5 Dy 3.64-3.76, 2 Pm 3.67
Pm 0.2912 0.1559 0.1559  3 Dy 3.32-3.71, 4 Nd 3.56-3.67, 1 Pm 3.67
Pm 0.7088 0.1559 0.1559  3 Dy 3.32-3.71, 4 Nd 3.56-3.67, 1 Pm 3.67
Nd 0.0000 0.7064 0.7064  2 Dy 3.10, 2 Nd 3.38
Nd 0.2106 0.4996 0.4996  4 Dy 3.32-3.57, 2 Nd 3.38-3.50, 4 Pm 3.56-3.67
Nd 0.5000 0.6294 0.6294  3 Dy 3.30-3.42, 2 Nd 3.50, 4 Pm 3.67
Nd 0.7894 0.4996 0.4996  4 Dy 3.32-3.57, 2 Nd 3.38-3.50, 4 Pm 3.56-3.67
Dy 0.0000 0.3003 0.3003  4 Nd 3.10-3.32
Dy 0.3025 0.8504 0.8504  4 Nd 3.42-3.70, 2 Dy 3.59, 4 Pm 3.71-3.73
Dy 0.5000 0.3572 0.3572  3 Nd 3.30-3.57, 2 Pm 3.32, 4 Dy 3.59
Dy 0.6975 0.8504 0.8504  4 Nd 3.42-3.70, 2 Dy 3.59, 4 Pm 3.71-3.73

First-principles (PBE) data for a relaxed LuGeBi crystal, as listed in Alexandria via LeMat-Bulk.

**V**: 80.9 Å³ per cell
**Total DFT energy (no corrections)**: -4.48 eV/atom
**DFT formation energy**: -0.4 eV/f.u.
**Magnetic moment**: 0.00 μB per formula unit

abc: 4.7569 4.7569 4.1260
angles: 90.00 90.00 120.00
Last column: nearest neighbours and their distance in Å.
Positions (direct):
Lu 0.0000 0.0000 0.0000  3 Ge 2.88
Ge 0.6667 0.3333 0.2100  3 Lu 2.88, 3 Bi 3.07
Bi 0.3333 0.6667 0.5450  3 Ge 3.07, 3 Lu 3.33

Look up the magnetic moment of the eighth one.
0.00 μB per formula unit